1.
The following is a GGA-PBE calculation of crystalline PrSmTm at its relaxed geometry, from the Alexandria database.

It has space group P-6m2 (No. 187), with a = 5.7098 Å, b = 5.7098 Å, c = 3.5090 Å, α = 90.00°, β = 90.00° and γ = 120.00°. The distinct sites, in fractional coordinates, are Pr at (0.0000, 0.0000, 0.0000), Sm at (0.6667, 0.3333, 0.5000) and Tm at (0.3333, 0.6667, 0.0000).

The value obtained for the magnetic moment is 0.00 μB per formula unit. For the energy relative to the elements, the calculation gives 0.071 eV per atom. Its crystal system is hexagonal. The calculation puts the relative energy among the computed polymorphs at 47 meV/atom.

2.
The following is a GGA-PBE calculation of crystalline Pr3Sm2Tm at its relaxed geometry, from the Alexandria database.

It has space group Imm2 (No. 44), with a = 3.425 Å, b = 10.268 Å, c = 12.022 Å, α = 90.00°, β = 90.00° and γ = 90.00°. The distinct sites, in fractional coordinates, are Pr at (0.000, 0.000, 0.000), Pr at (0.000, 0.333, 0.999), Sm at (0.000, 0.169, 0.748) and Tm at (0.000, 0.500, 0.751).

The value obtained for the magnetic moment is 0.00 μB per formula unit. For the energy relative to the elements, the calculation gives 0.377 eV per atom. Its crystal system is orthorhombic. The calculation puts the relative energy among the computed polymorphs at 268 meV/atom.

3.
The following is a GGA-PBE calculation of crystalline Pr3Sm2Tm2 at its relaxed geometry, from the Alexandria database.

It has space group P-1 (No. 2), with a = 3.634 Å, b = 6.273 Å, c = 10.853 Å, α = 95.72°, β = 90.03° and γ = 106.74°. The distinct sites, in fractional coordinates, are Pr at (0.000, 0.000, 0.000), Pr at (0.142, 0.283, 0.571), Sm at (0.284, 0.567, 0.143) and Tm at (0.428, 0.857, 0.715).

The value obtained for the magnetic moment is 0.00 μB per formula unit. For the energy relative to the elements, the calculation gives 0.018 eV per atom. Its crystal system is triclinic. The calculation puts the relative energy among the computed polymorphs at 0 meV/atom.

4.
The following is a GGA-PBE calculation of crystalline PrSm6Tm at its relaxed geometry, from the Alexandria database.

It has space group C2/m (No. 12), with a = 9.303 Å, b = 7.127 Å, c = 9.192 Å, α = 90.00°, β = 104.77° and γ = 90.00°. The distinct sites, in fractional coordinates, are Pr at (0.000, 0.000, 0.000), Sm at (0.127, 0.000, 0.421), Sm at (0.210, 0.240, 0.794) and Tm at (0.000, 0.500, 0.500).

The value obtained for the magnetic moment is 0.00 μB per formula unit. For the energy relative to the elements, the calculation gives 0.371 eV per atom. Its crystal system is monoclinic. The calculation puts the relative energy among the computed polymorphs at 350 meV/atom.

5.
The following is a GGA-PBE calculation of crystalline Pr2Sm2Tm3 at its relaxed geometry, from the Alexandria database.

It has space group P2/m (No. 10), with a = 5.648 Å, b = 3.425 Å, c = 12.328 Å, α = 90.00°, β = 103.23° and γ = 90.00°. The distinct sites, in fractional coordinates, are Pr at (0.141, 0.000, 0.281), Sm at (0.424, 0.500, 0.850), Tm at (0.000, 0.000, 0.000) and Tm at (0.290, 0.000, 0.579).

The value obtained for the magnetic moment is 0.00 μB per formula unit. For the energy relative to the elements, the calculation gives 0.188 eV per atom. Its crystal system is monoclinic. The calculation puts the relative energy among the computed polymorphs at 68 meV/atom.

6.
The following is a GGA-PBE calculation of crystalline Pr7Sm2Tm3 at its relaxed geometry, from the Alexandria database.

It has space group P2/m (No. 10), with a = 5.931 Å, b = 3.650 Å, c = 19.194 Å, α = 90.00°, β = 93.96° and γ = 90.00°. The distinct sites, in fractional coordinates, are Pr at (0.000, 0.000, 0.000), Pr at (0.173, 0.500, 0.183), Pr at (0.258, 0.500, 0.535), Pr at (0.331, 0.000, 0.856), Sm at (0.295, 0.500, 0.701), Tm at (0.218, 0.000, 0.368) and Tm at (0.500, 0.500, 0.000).

The value obtained for the magnetic moment is 0.00 μB per formula unit. For the energy relative to the elements, the calculation gives 0.092 eV per atom. Its crystal system is monoclinic. The calculation puts the relative energy among the computed polymorphs at 26 meV/atom.

| no. | density (g/cm3) |
| --- | --- |
| 1 | 7.71 |
| 2 | 7.01 |
| 3 | 7.48 |
| 4 | 6.83 |
| 5 | 7.79 |
| 6 | 7.19 |